DFT (GGA-PBE) results for LiDyAg2 after structural relaxation.

Cell: 4.6625 4.6625 13.3853 Å, 90.00 90.00 120.00°
Space group R-3m (No. 166, hexagonal axes)
One atom of each set of equivalent atoms:
Li  0.0000  0.0000  0.0000 (multiplicity 3)
Dy  0.0000  0.0000  0.5000 (multiplicity 3)
Ag  0.0000  0.0000  0.2754 (multiplicity 6)

DFT formation energy = -0.220 eV/atom
ΔE to the lowest computed polymorph = 9 meV per atom
total DFT energy (no corrections) = -3.275 eV/atom